Record 1
! GGA-PBE Ba2Tl5Pb12, relaxed; values from VASP
&SYSTEM
  ibrav = 0, nat = 19, ntyp = 3
/
ATOMIC_SPECIES
Tl 204.38 Tl.upf
Pb 207.20 Pb.upf
Ba 137.33 Ba.upf
CELL_PARAMETERS angstrom
8.6743 0.1747 0.9194
0.8453 8.6348 0.9194
0.1888 0.1747 8.7209
ATOMIC_POSITIONS crystal
Tl 0.5000 0.0000 0.0000
Pb 0.7055 0.0000 0.2945
Pb 0.8443 0.3565 0.3565
Pb 0.3565 0.8443 0.3565
Pb 0.1557 0.6435 0.6435
Tl 0.0000 0.5000 0.0000
Pb 0.2945 0.7055 0.0000
Pb 0.6435 0.6435 0.1557
Pb 0.6435 0.1557 0.6435
Tl 0.0000 0.0000 0.5000
Pb 0.0000 0.2945 0.7055
Pb 0.2945 0.0000 0.7055
Tl 0.8976 0.8976 0.8976
Pb 0.0000 0.7055 0.2945
Ba 0.3425 0.3425 0.3425
Tl 0.1024 0.1024 0.1024
Pb 0.3565 0.3565 0.8443
Pb 0.7055 0.2945 0.0000
Ba 0.6575 0.6575 0.6575
! Crystal system: trigonal
! SG: No. 166
! ΔH_f (0 K), meV per atom: -126

***

Record 2
! GGA-PBE SrHf2Br2, relaxed; values from VASP
&SYSTEM
  ibrav = 0, nat = 5, ntyp = 3
/
ATOMIC_SPECIES
Br 79.90 Br.upf
Sr 87.62 Sr.upf
Hf 178.49 Hf.upf
CELL_PARAMETERS angstrom
-0.0689 3.1096 2.8386
-0.1150 -2.8393 3.1076
7.1908 0.0890 3.2004
ATOMIC_POSITIONS crystal
Br 0.3875 0.3875 0.2249
Sr 0.0000 0.0000 0.0000
Hf 0.7500 0.2500 0.5000
Br 0.6125 0.6125 0.7751
Hf 0.2500 0.7500 0.5000
! Crystal system: tetragonal
! E_form (uncorrected), eV/atom: -0.246
! SG: No. 139
! Energy above the most stable polymorph in this dataset, meV per atom: 0

***

Record 3
! GGA-PBE RbAsN2O, relaxed; values from VASP
&SYSTEM
  ibrav = 0, nat = 5, ntyp = 4
/
ATOMIC_SPECIES
As 74.92 As.upf
N 14.01 N.upf
Rb 85.47 Rb.upf
O 16.00 O.upf
CELL_PARAMETERS angstrom
-4.8479 0.6618 -2.3654
-2.1411 -3.7032 3.3521
-0.9963 3.2467 2.9504
ATOMIC_POSITIONS crystal
As 0.5000 0.5000 0.5000
N 0.0000 0.5000 0.0000
N 0.5000 0.0000 0.0000
Rb 0.0000 0.0000 0.0000
O 0.0000 0.0000 0.5000
! Crystal system: tetragonal
! E_form (uncorrected), eV/atom: 2.497
! SG: No. 123

***

Record 4
! GGA-PBE Ga3RhSe, relaxed; values from VASP
&SYSTEM
  ibrav = 0, nat = 5, ntyp = 3
/
ATOMIC_SPECIES
Ga 69.72 Ga.upf
Se 78.96 Se.upf
Rh 102.91 Rh.upf
CELL_PARAMETERS angstrom
4.8779 0.0000 0.0000
0.0000 4.8779 0.0000
0.0000 0.0000 4.8779
ATOMIC_POSITIONS crystal
Ga 0.0000 0.5000 0.0000
Ga 0.5000 0.0000 0.0000
Se 0.0000 0.0000 0.0000
Rh 0.5000 0.5000 0.5000
Ga 0.0000 0.0000 0.5000
! Crystal system: cubic
! E_form (uncorrected), eV/atom: 0.839
! SG: No. 221
! Energy above the most stable polymorph in this dataset, meV per atom: 1065

***

Record 5
! GGA-PBE TlTc2Rh, relaxed; values from VASP
&SYSTEM
  ibrav = 0, nat = 8, ntyp = 3
/
ATOMIC_SPECIES
Tc 98.00 Tc.upf
Rh 102.91 Rh.upf
Tl 204.38 Tl.upf
CELL_PARAMETERS angstrom
-3.4518 0.3269 -6.5986
1.4110 -7.2367 -1.0966
-3.2895 -4.0726 -2.6912
ATOMIC_POSITIONS crystal
Tc 0.3750 0.4191 0.7500
Tc 0.5809 0.1250 0.2500
Rh 0.2500 0.7500 0.5000
Tl 0.7500 0.2500 0.5000
Tc 0.8750 0.8309 0.7500
Tc 0.1691 0.6250 0.2500
Tl 0.0000 0.0000 0.0000
Rh 0.5000 0.5000 0.0000
! Crystal system: tetragonal
! SG: No. 122
! ΔH_f (0 K), meV per atom: 917
! Energy above the most stable polymorph in this dataset, meV per atom: 671

***

Record 6
! GGA-PBE K2BaMo, relaxed; values from VASP
&SYSTEM
  ibrav = 0, nat = 4, ntyp = 3
/
ATOMIC_SPECIES
Mo 95.94 Mo.upf
K 39.10 K.upf
Ba 137.33 Ba.upf
CELL_PARAMETERS angstrom
13.9747 0.0109 0.0064
13.3710 4.0629 0.0064
13.3710 1.9919 3.5412
ATOMIC_POSITIONS crystal
Mo 0.2500 0.2500 0.2500
K 0.9861 0.9861 0.9861
K 0.5139 0.5139 0.5139
Ba 0.7500 0.7500 0.7500
! Crystal system: trigonal
! SG: No. 166
! ΔH_f (0 K), meV per atom: 1271
! Energy above the most stable polymorph in this dataset, meV per atom: 289